(one)
Here is a relaxed structure of HfV3Ru from Alexandria via LeMat-Bulk. Energies are from PBE-GGA.

Structure (POSCAR):
```
HfV3Ru
1.0
4.545 0.000 0.000
0.000 4.545 0.000
0.000 0.000 4.545
Hf V Ru
1 3 1
direct
0.000 0.000 0.000
0.000 0.500 0.500
0.500 0.000 0.500
0.500 0.500 0.000
0.500 0.500 0.500
```

Output
Calculated density, g/cm³: 7.6
D(E_F), states/eV/atom: 1.634

=====

(two)
Here is a relaxed structure of HfV3Ru from Alexandria via LeMat-Bulk. Energies are from PBE-GGA.

Structure (POSCAR):
```
HfV3Ru
1.0
4.556 0.000 0.000
0.000 4.556 0.000
0.000 0.000 4.556
Hf V Ru
1 3 1
direct
0.000 0.000 0.000
0.000 0.000 0.500
0.000 0.500 0.000
0.500 0.000 0.000
0.500 0.500 0.500
```

Output
Calculated density, g/cm³: 7.6
D(E_F), states/eV/atom: 1.637

=====

The most stable of them is (one).